{"formula": "BaZrNb2F", "functional": "PBE-GGA", "state": "optimized geometry", "dos_at_fermi_per_ev_atom": 1.304, "dft_energy_ev_per_atom": -6.31, "magmom_total_mub_per_cell": 0.0, "e_form_raw_ev_per_atom": 0.183, "volume_a3_per_cell": 105, "lattice_angstrom": [[-0.4890, 3.5112, 2.7885], [-3.7458, 1.8904, -3.0372], [-3.0766, -2.3033, 2.3607]], "species": ["F", "Nb", "Nb", "Zr", "Ba"], "fractional_positions": [[0.0000, 0.0000, 0.0000], [0.0000, 0.0000, 0.5000], [0.5000, 0.0000, 0.0000], [0.5000, 0.5000, 0.5000], [0.0000, 0.5000, 0.0000]]}